(1)
Below is Ca2Fe2O5 after structural relaxation, with properties calculated at the PBE+U level.

Results
The calculation puts the total moment at 1.11 μB/atom. The calculation puts the volume at 12.91 Å³/atom. As for the mass density: 3.9 g/cm³.

a b c (Å): 14.8351 5.6977 5.5003
angles (deg): 90.00 90.00 90.00
With the nearest neighbours (Å) after each atom.
Space group Ima2 (No. 46)
Asymmetric unit:
1 Ca 0.1076 0.0275 0.0000 x8  6 O 2.32-2.60
2 Fe 0.0000 0.0000 0.4845 x4  6 O 1.98-2.15
3 Fe 0.2500 0.5679 0.0308 x4  4 O 1.87-1.97
4 O 0.0166 0.7452 0.2351 x8  2 Fe 1.98-2.01
5 O 0.1411 0.0774 0.4469 x8  1 Fe 1.87
6 O 0.2500 0.6209 0.3842 x4  2 Fe 1.95-1.97

---

(2)
Below is Ca2Fe2O5 after structural relaxation, with properties calculated at the PBE+U level.

Results
The calculation puts the total moment at 1.11 μB/atom. The calculation puts the volume at 13.03 Å³/atom. As for the mass density: 3.8 g/cm³.

a b c (Å): 7.8887 8.0155 14.8370
angles (deg): 90.00 90.00 90.00
With the nearest neighbours (Å) after each atom.
Space group Fmmm (No. 69)
Asymmetric unit:
1 Ca 0.0000 0.2203 0.1436 x16  6 O 2.31-2.57
2 Fe 0.1826 0.0000 0.5000 x8  4 O 1.87-1.97
3 Fe 0.2500 0.0000 0.2500 x8  6 O 2.00-2.13
4 O 0.0000 0.0000 0.2713 x8  2 Fe 2.00
5 O 0.0000 0.1680 0.5000 x8  2 Fe 1.97
6 O 0.1981 0.0000 0.1090 x16  1 Fe 1.87
7 O 0.2500 0.2500 0.2500 x8  2 Fe 2.00

---

(3)
Below is Ca2Fe2O5 after structural relaxation, with properties calculated at the PBE+U level.

Results
The calculation puts the total moment at 0.00 μB/atom. The calculation puts the volume at 12.91 Å³/atom. As for the mass density: 3.9 g/cm³.

a b c (Å): 5.5379 5.6543 14.8463
angles (deg): 90.00 90.00 90.00
With the nearest neighbours (Å) after each atom.
Space group Pna2_1 (No. 33)
Asymmetric unit:
1 Ca 0.0340 0.0197 0.0000 x4  6 O 2.35-2.55
2 Ca 0.0356 0.0217 0.7185 x4  6 O 2.33-2.56
3 Fe 0.0000 0.4989 0.1077 x4  6 O 2.01-2.18
4 Fe 0.0531 0.5630 0.8590 x4  4 O 1.87-1.96
5 O 0.0304 0.5785 0.4689 x4  1 Fe 1.87
6 O 0.0360 0.5816 0.2507 x4  1 Fe 1.87
7 O 0.0981 0.1255 0.3594 x4  2 Fe 1.95-1.96
8 O 0.2196 0.2194 0.1281 x4  2 Fe 2.01-2.02
9 O 0.2205 0.2202 0.5896 x4  2 Fe 2.01-2.02

---

(4)
Below is Ca2Fe2O5 after structural relaxation, with properties calculated at the PBE+U level.

Results
The calculation puts the total moment at 1.11 μB/atom. The calculation puts the volume at 13.58 Å³/atom. As for the mass density: 3.7 g/cm³.

a b c (Å): 8.2662 5.5045 5.3733
angles (deg): 90.00 90.00 90.00
With the nearest neighbours (Å) after each atom.
Space group Pmn2_1 (No. 31)
Asymmetric unit:
1 Ca 0.0000 0.2133 0.0000 x2  5 O 2.35-2.51
2 Ca 0.0000 0.7232 0.4035 x2  5 O 2.26-2.38
3 Fe 0.2194 0.7520 0.9304 x4  5 O 1.92-2.07
4 O 0.0000 0.7931 0.8183 x2  2 Fe 1.92
5 O 0.1856 0.9817 0.2317 x4  2 Fe 1.98-2.07
6 O 0.1896 0.4798 0.1805 x4  2 Fe 2.00-2.03

---

It is (3) that is the most stable of them.

---

(1)
Below is Ca2Fe2O5 after structural relaxation, with properties calculated at the PBE+U level.

Results
The calculation puts the total moment at 1.11 μB/atom. The calculation puts the volume at 12.56 Å³/atom. As for the mass density: 4.0 g/cm³.

a b c (Å): 5.4807 10.4996 3.9284
angles (deg): 90.00 90.00 90.00
With the nearest neighbours (Å) after each atom.
Space group Pbam (No. 55)
Asymmetric unit:
1 Ca 0.2312 0.1136 0.0000 x4  6 O 2.35-2.62
2 Fe 0.2442 0.3629 0.5000 x4  5 O 1.91-2.01
3 O 0.0000 0.0000 0.5000 x2  2 Fe 2.01
4 O 0.1010 0.7004 0.5000 x4  2 Fe 1.91-2.01
5 O 0.2025 0.3928 0.0000 x4  2 Fe 2.00

---

(2)
Below is Ca2Fe2O5 after structural relaxation, with properties calculated at the PBE+U level.

Results
The calculation puts the total moment at 0.89 μB/atom. The calculation puts the volume at 13.37 Å³/atom. As for the mass density: 3.7 g/cm³.

a b c (Å): 6.1191 6.1765 7.1085
angles (deg): 97.13 98.30 112.54
With the nearest neighbours (Å) after each atom.
Space group P-1 (No. 2)
Asymmetric unit:
1 Ca 0.0377 0.1177 0.2944 x2  5 O 2.26-2.49
2 Ca 0.3964 0.4861 0.7219 x2  4 O 2.29-2.37
3 Fe 0.0000 0.5000 0.0000 x1  4 O 1.86-1.94
4 Fe 0.3234 0.8218 0.3462 x2  4 O 1.91-2.12
5 Fe 0.5000 0.0000 0.0000 x1  4 O 1.82-1.93
6 O 0.0281 0.2861 0.8072 x2  2 Fe 1.86-2.07
7 O 0.2650 0.5128 0.4044 x2  1 Fe 1.91
8 O 0.2947 0.0426 0.5612 x2  2 Fe 1.99-2.12
9 O 0.3469 0.6831 0.0512 x2  2 Fe 1.93-1.94
10 O 0.3747 0.1107 0.1874 x2  1 Fe 1.82

---

It is (1) that is the most stable of them.

---

(1)
Below is CaFe2O5 after structural relaxation, with properties calculated at the PBE+U level.

Results
The calculation puts the total moment at 1.00 μB/atom. The calculation puts the volume at 15.86 Å³/atom. As for the mass density: 3.0 g/cm³.

a b c (Å): 3.7756 11.9210 11.2738
angles (deg): 90.00 90.00 90.00
With the nearest neighbours (Å) after each atom.
Space group Cmcm (No. 63)
Asymmetric unit:
1 Ca 0.0000 0.0896 0.2500 x4  6 O 2.26-2.52
2 Fe 0.0000 0.2217 0.6015 x8  5 O 1.82-2.04
3 O 0.0000 0.0773 0.6545 x8  1 Fe 1.82
4 O 0.0000 0.2197 0.0740 x8  3 Fe 1.98-2.04
5 O 0.0000 0.3051 0.7500 x4  2 Fe 1.95

---

(2)
Below is CaFe2O5 after structural relaxation, with properties calculated at the PBE+U level.

Results
The calculation puts the total moment at 1.00 μB/atom. The calculation puts the volume at 13.75 Å³/atom. As for the mass density: 3.5 g/cm³.

a b c (Å): 3.5595 11.5000 5.3759
angles (deg): 90.00 90.00 90.00
With the nearest neighbours (Å) after each atom.
Space group Pmmn (No. 59, origin choice 2)
Asymmetric unit:
1 Ca 0.2500 0.2500 0.0971 x2  8 O 2.40-2.65
2 Fe 0.2500 0.6021 0.4426 x4  5 O 1.84-2.00
3 O 0.2500 0.0691 0.4040 x4  3 Fe 1.98-2.00
4 O 0.2500 0.6539 0.1194 x4  1 Fe 1.84
5 O 0.2500 0.7500 0.5988 x2  2 Fe 1.90

---

It is (2) that is the most stable of them.

---

(1)
Below is CaFe8O12 after structural relaxation, with properties calculated at the PBE+U level.

Results
The calculation puts the total moment at 1.81 μB/atom. The calculation puts the volume at 11.38 Å³/atom. As for the mass density: 4.7 g/cm³.

a b c (Å): 6.0430 5.2757 7.5308
angles (deg): 90.00 95.46 90.00
With the nearest neighbours (Å) after each atom.
Space group P2 (No. 3)
Asymmetric unit:
1 Ca 0.0000 0.0000 0.0000 x1  3 O 2.13-2.16
2 Fe 0.1718 0.0407 0.4154 x2  3 O 1.97-2.18
3 Fe 0.2913 0.5293 0.5909 x2  5 O 1.99-2.22
4 Fe 0.3019 0.5117 0.0916 x2  4 O 1.93-2.13
5 Fe 0.4636 0.0206 0.7677 x2  5 O 1.98-2.15
6 O 0.0000 0.3779 0.5000 x1  4 Fe 1.99-2.18
7 O 0.0000 0.5903 0.0000 x1  2 Fe 1.93, 1 Ca 2.16
8 O 0.1772 0.8725 0.6618 x2  3 Fe 1.99-2.05
9 O 0.2396 0.1795 0.1839 x2  3 Fe 1.94-1.98, 1 Ca 2.13
10 O 0.3540 0.3625 0.8360 x2  4 Fe 2.01-2.24
11 O 0.3721 0.6979 0.3350 x2  5 Fe 2.09-2.29
12 O 0.5000 0.2232 0.5000 x1  6 Fe 2.20-2.31
13 O 0.5000 0.8208 0.0000 x1  4 Fe 2.04-2.17

---

(2)
Below is CaFe8O12 after structural relaxation, with properties calculated at the PBE+U level.

Results
The calculation puts the total moment at 1.71 μB/atom. The calculation puts the volume at 11.84 Å³/atom. As for the mass density: 4.5 g/cm³.

a b c (Å): 5.2209 5.8378 8.6573
angles (deg): 83.65 79.18 73.94
With the nearest neighbours (Å) after each atom.
Space group P1 (No. 1)
Asymmetric unit:
1 Ca 0.0000 0.0000 0.0000 x1  6 O 2.26-2.51
2 Fe 0.0684 0.4957 0.8661 x1  5 O 1.91-2.06
3 Fe 0.1041 0.7579 0.4288 x1  4 O 1.92-2.03
4 Fe 0.1187 0.2586 0.5718 x1  6 O 1.99-2.19
5 Fe 0.2541 0.4031 0.1392 x1  4 O 2.05-2.19
6 Fe 0.5585 0.6445 0.7355 x1  6 O 1.99-2.19
7 Fe 0.6003 0.1216 0.7450 x1  6 O 1.95-2.18
8 Fe 0.6578 0.0920 0.3385 x1  5 O 2.05-2.17
9 Fe 0.6871 0.5797 0.3244 x1  4 O 1.92-2.01
10 O 0.2982 0.6463 0.9412 x1  3 Fe 1.91-2.12
11 O 0.3249 0.2007 0.9487 x1  3 Fe 2.02-2.06
12 O 0.3420 0.4061 0.3629 x1  5 Fe 2.08-2.26
13 O 0.3476 0.4430 0.6629 x1  4 Fe 2.03-2.11
14 O 0.3731 0.9707 0.6585 x1  3 Fe 1.95-2.00
15 O 0.4100 0.8759 0.3323 x1  3 Fe 1.92-2.05
16 O 0.7925 0.7933 0.8368 x1  3 Fe 1.95-2.05
17 O 0.8339 0.5696 0.5243 x1  4 Fe 2.01-2.11
18 O 0.8483 0.3109 0.7949 x1  4 Fe 1.99-2.19
19 O 0.8618 0.3209 0.1906 x1  2 Fe 1.92-2.11
20 O 0.8859 0.0645 0.5255 x1  4 Fe 1.99-2.18
21 O 0.9457 0.7790 0.2374 x1  3 Fe 1.96-2.17

---

It is (1) that is the most stable of them.

---

(1)
Below is CaFe2O4 after structural relaxation, with properties calculated at the PBE+U level.

Results
The calculation puts the total moment at 1.14 μB/atom. The calculation puts the volume at 12.28 Å³/atom. As for the mass density: 4.2 g/cm³.

a b c (Å): 6.2917 6.3294 8.6321
angles (deg): 90.00 90.00 90.00
With the nearest neighbours (Å) after each atom.
Space group Imma (No. 74)
Asymmetric unit:
1 Ca 0.2500 0.2500 0.2500 x4  6 O 2.28-2.29
2 Fe 0.0000 0.0000 0.0000 x4  2 O 1.95
3 Fe 0.0000 0.2500 0.6418 x4  4 O 1.91-1.96
4 O 0.0000 0.0081 0.7744 x8  2 Fe 1.91-1.95
5 O 0.2413 0.2500 0.9851 x8  3 Fe 1.96-2.20

---

(2)
Below is CaFe2O4 after structural relaxation, with properties calculated at the PBE+U level.

Results
The calculation puts the total moment at 1.43 μB/atom. The calculation puts the volume at 12.65 Å³/atom. As for the mass density: 4.0 g/cm³.

a b c (Å): 14.8974 3.0082 9.1505
angles (deg): 90.00 120.25 90.00
With the nearest neighbours (Å) after each atom.
Space group C2/m (No. 12)
Asymmetric unit:
1 Ca 0.1128 0.0000 0.1598 x4  5 O 2.30-2.42
2 Fe 0.0789 0.0000 0.7786 x4  5 O 1.95-2.11
3 Fe 0.1636 0.5000 0.5238 x4  6 O 1.98-2.13
4 O 0.0681 0.5000 0.9313 x4  2 Fe 2.11
5 O 0.0698 0.0000 0.3824 x4  3 Fe 1.95-2.02
6 O 0.1381 0.5000 0.7167 x4  3 Fe 1.97-1.98
7 O 0.2249 0.5000 0.3578 x4  3 Fe 2.09-2.13, 2 Ca 2.30

---

(3)
Below is CaFe2O4 after structural relaxation, with properties calculated at the PBE+U level.

Results
The calculation puts the total moment at 1.43 μB/atom. The calculation puts the volume at 12.57 Å³/atom. As for the mass density: 4.1 g/cm³.

a b c (Å): 6.2089 6.2089 15.8182
angles (deg): 90.00 90.00 120.00
With the nearest neighbours (Å) after each atom.
Space group R3m (No. 160, hexagonal axes)
Asymmetric unit:
1 Ca 0.0000 0.0000 0.0000 x3  4 O 2.16-2.24
2 Ca 0.0000 0.0000 0.3774 x3  6 O 2.26-2.30
3 Fe 0.0000 0.0000 0.7591 x3  4 O 1.94-2.15
4 Fe 0.0100 0.5050 0.8783 x9  5 O 1.97-2.17
5 O 0.0000 0.0000 0.1414 x3  3 Fe 2.06, 1 Ca 2.24
6 O 0.0000 0.0000 0.6232 x3  4 Fe 2.15-2.22
7 O 0.0036 0.5018 0.1365 x9  3 Fe 1.94-2.17
8 O 0.1834 0.3668 0.9438 x9  2 Fe 1.97, 1 Ca 2.16

---

It is (3) that is the most stable of them.